(w)
# ZrNiC3 (PBE, optimized geometry)
# space group: Pm-3m, No. 221
data_ZrNiC3
_chemical_formula_sum 'Zr1 Ni1 C3'
_symmetry_space_group_name_H-M 'P 1'
_symmetry_Int_Tables_number 1
_symmetry_space_group_name_Hall 'P 1'
_cell_length_a 4.273
_cell_length_b 4.273
_cell_length_c 4.273
_cell_angle_alpha 90.00
_cell_angle_beta 90.00
_cell_angle_gamma 90.00
loop_
_atom_site_label
_atom_site_type_symbol
_atom_site_fract_x
_atom_site_fract_y
_atom_site_fract_z
Zr1 Zr 0.000 0.000 0.000
Ni1 Ni 0.500 0.500 0.500
C1 C 0.000 0.000 0.500
C2 C 0.000 0.500 0.000
C3 C 0.500 0.000 0.000

(x)
# ZrNiC3 (PBE, optimized geometry)
# space group: Pm-3m, No. 221
data_ZrNiC3
_chemical_formula_sum 'Zr1 Ni1 C3'
_symmetry_space_group_name_H-M 'P 1'
_symmetry_Int_Tables_number 1
_symmetry_space_group_name_Hall 'P 1'
_cell_length_a 3.761
_cell_length_b 3.761
_cell_length_c 3.761
_cell_angle_alpha 90.00
_cell_angle_beta 90.00
_cell_angle_gamma 90.00
loop_
_atom_site_label
_atom_site_type_symbol
_atom_site_fract_x
_atom_site_fract_y
_atom_site_fract_z
Zr1 Zr 0.000 0.000 0.000
Ni1 Ni 0.500 0.500 0.500
C1 C 0.000 0.500 0.500
C2 C 0.500 0.000 0.500
C3 C 0.500 0.500 0.000

Out of the structures above, which one is the least stable? Solution: (w).